[1]
K, optimized geometry, DFT GGA-PBE; volume = 146.07 Å³ per atom; E = -13.1 eV per cell; polymorph energy (0 for the lowest one) = 278.1 meV per atom; E_form = 0.28 eV per atom; space-group type = No. 217
1.0
13.271 0.000 0.000
0.000 13.271 0.000
0.000 0.000 13.271
K
16
Direct
0.119 0.119 0.881
0.119 0.881 0.119
0.197 0.197 0.197
0.197 0.803 0.803
0.303 0.303 0.697
0.303 0.697 0.303
0.381 0.381 0.381
0.381 0.619 0.619
0.619 0.381 0.619
0.619 0.619 0.381
0.697 0.303 0.303
0.697 0.697 0.697
0.803 0.197 0.803
0.803 0.803 0.197
0.881 0.119 0.119
0.881 0.881 0.881

[2]
K, optimized geometry, DFT GGA-PBE; volume = 71.98 Å³ per atom; E = -6.6 eV per cell; polymorph energy (0 for the lowest one) = 0.8 meV per atom; E_form = 0.00 eV per atom; space-group type = No. 12
1.0
8.168 0.000 0.000
0.000 4.680 0.000
-2.715 0.000 11.300
K
6
Direct
0.000 0.000 0.000
0.222 0.000 0.667
0.278 0.500 0.333
0.500 0.500 0.000
0.722 0.500 0.667
0.778 0.000 0.333

[3]
K, optimized geometry, DFT GGA-PBE; volume = 99.64 Å³ per atom; E = -1.8 eV per cell; polymorph energy (0 for the lowest one) = 217.3 meV per atom; E_form = 0.22 eV per atom; space-group type = No. 191
1.0
7.340 0.000 0.000
-3.670 6.357 0.000
0.000 0.000 4.271
K
2
Direct
0.333 0.667 0.000
0.667 0.333 0.000

[4]
K, optimized geometry, DFT GGA-PBE; volume = 74.72 Å³ per atom; E = -16.5 eV per cell; polymorph energy (0 for the lowest one) = 64.0 meV per atom; E_form = 0.06 eV per atom; space-group type = No. 70
1.0
4.490 0.000 0.000
0.000 16.285 0.000
0.000 0.000 16.351
K
16
Direct
0.125 0.255 0.125
0.125 0.495 0.625
0.125 0.755 0.625
0.125 0.995 0.125
0.375 0.005 0.375
0.375 0.245 0.875
0.375 0.505 0.875
0.375 0.745 0.375
0.625 0.255 0.625
0.625 0.495 0.125
0.625 0.755 0.125
0.625 0.995 0.625
0.875 0.005 0.875
0.875 0.245 0.375
0.875 0.505 0.375
0.875 0.745 0.875

[5]
K, optimized geometry, DFT GGA-PBE; volume = 72.74 Å³ per atom; E = -31.5 eV per cell; polymorph energy (0 for the lowest one) = 10.6 meV per atom; E_form = 0.01 eV per atom; space-group type = No. 217
1.0
-8.079 8.079 8.079
8.079 -8.079 8.079
8.079 8.079 -8.079
K
29
Direct
0.000 0.000 0.000
0.000 0.000 0.640
0.000 0.190 0.375
0.000 0.375 0.190
0.000 0.406 0.683
0.000 0.640 0.000
0.000 0.683 0.406
0.185 0.810 0.810
0.190 0.000 0.375
0.190 0.375 0.000
0.277 0.594 0.594
0.317 0.317 0.723
0.317 0.723 0.317
0.360 0.360 0.360
0.375 0.000 0.190
0.375 0.190 0.000
0.406 0.000 0.683
0.406 0.683 0.000
0.594 0.277 0.594
0.594 0.594 0.277
0.625 0.625 0.815
0.625 0.815 0.625
0.640 0.000 0.000
0.683 0.000 0.406
0.683 0.406 0.000
0.723 0.317 0.317
0.810 0.185 0.810
0.810 0.810 0.185
0.815 0.625 0.625

[6]
K, optimized geometry, DFT GGA-PBE; volume = 71.80 Å³ per atom; E = -2.2 eV per cell; polymorph energy (0 for the lowest one) = 1.1 meV per atom; E_form = 0.00 eV per atom; space-group type = No. 139
1.0
4.677 0.000 0.000
0.000 4.677 0.000
0.000 0.000 6.564
K
2
Direct
0.000 0.000 0.000
0.500 0.500 0.500

Sequential D(E_F) output: 0.63; 0.90; 0.81; 0.76; 0.65; 0.83 states/eV/f.u.